BaRhCl2: optimized geometry, PBE-GGA.

Summary:
Calculated total energy   -4.2995 eV per atom
Excess energy over the best structure of this formula in the dataset   27 meV/atom
Symmetry   No. 12
Formation energy without anion corrections   -1058 meV/atom
Total magnetic moment   1.0 μB per formula unit

Cell lengths 9.7577, 4.7156, 5.0739 Å; angles 90.00, 92.10, 90.00 degrees
With the nearest neighbours (Å) after each atom.
Positions (direct):
Ba (0.0000, 0.0000, 0.0000)  6 Cl 3.20-3.32, 4 Rh 3.46
Ba (0.5000, 0.5000, 0.0000)  6 Cl 3.20-3.32, 4 Rh 3.46
Rh (0.0000, 0.5000, 0.5000)  2 Cl 2.30
Rh (0.5000, 0.0000, 0.5000)  2 Cl 2.30
Cl (0.1882, 0.5000, 0.2402)  1 Rh 2.30
Cl (0.3118, 0.0000, 0.7598)  1 Rh 2.30
Cl (0.6882, 0.0000, 0.2402)  1 Rh 2.30
Cl (0.8118, 0.5000, 0.7598)  1 Rh 2.30



Pt3CSe: optimized geometry, PBE-GGA.

Summary:
Calculated total energy   -4.1846 eV per atom
Excess energy over the best structure of this formula in the dataset   1402 meV/atom
Symmetry   No. 221
Formation energy without anion corrections   1982 meV/atom
Total magnetic moment   0.5 μB per formula unit

Cell lengths 4.6802, 4.6802, 4.6802 Å; angles 90.00, 90.00, 90.00 degrees
With the nearest neighbours (Å) after each atom.
Positions (direct):
Pt (0.0000, 0.0000, 0.5000)  2 Se 2.34
Pt (0.0000, 0.5000, 0.0000)  2 Se 2.34
Pt (0.5000, 0.0000, 0.0000)  2 Se 2.34
C (0.5000, 0.5000, 0.5000)  12 Pt 3.31
Se (0.0000, 0.0000, 0.0000)  6 Pt 2.34



MgIn2PbI6: optimized geometry, PBE-GGA.

Summary:
Calculated total energy   -2.6481 eV per atom
Symmetry   No. 146
Formation energy without anion corrections   -640 meV/atom
Total magnetic moment   0.0 μB per formula unit

Cell lengths 8.5855, 8.5855, 8.5855 Å; angles 58.27, 58.27, 58.27 degrees
With the nearest neighbours (Å) after each atom.
Positions (direct):
Mg (0.0000, 0.0000, 0.0000)  6 I 2.93-3.00
In (0.2987, 0.2987, 0.2987)  6 I 3.49-3.51
In (0.7947, 0.7947, 0.7947)  6 I 3.48-3.56
Pb (0.5013, 0.5013, 0.5013)  6 I 3.22-3.30
I (0.1372, 0.3330, 0.7501)  1 Mg 2.93
I (0.2213, 0.8622, 0.6586)  1 Mg 3.00, 1 Pb 3.22
I (0.3330, 0.7501, 0.1372)  1 Mg 2.93
I (0.6586, 0.2213, 0.8622)  1 Mg 3.00, 1 Pb 3.22
I (0.7501, 0.1372, 0.3330)  1 Mg 2.93
I (0.8622, 0.6586, 0.2213)  1 Mg 3.00, 1 Pb 3.22



AcNd6Er3: optimized geometry, PBE-GGA.

Summary:
Calculated formation energy   7 kJ/mol of atoms
Calculated total energy   -4.5676 eV per atom
Symmetry   No. 11
Total magnetic moment   0.0 μB per formula unit

Cell lengths 12.8876, 3.7041, 14.7647 Å; angles 90.00, 96.35, 90.00 degrees
With the nearest neighbours (Å) after each atom.
Positions (direct):
Ac (0.1564, 0.2500, 0.3666)  7 Nd 3.58-3.82, 2 Ac 3.70, 3 Er 3.79-3.82
Ac (0.8436, 0.7500, 0.6334)  7 Nd 3.58-3.82, 2 Ac 3.70, 3 Er 3.79-3.82
Nd (0.0996, 0.2500, 0.0361)  6 Nd 3.25-3.44, 1 Er 3.56
Nd (0.1095, 0.7500, 0.5849)  3 Ac 3.58-3.82, 5 Nd 3.68-3.88, 2 Er 3.76
Nd (0.2626, 0.7500, 0.1813)  5 Nd 3.38-3.78, 4 Er 3.42-3.55, 2 Ac 3.69
Nd (0.2732, 0.7500, 0.9262)  5 Er 3.44-3.80, 7 Nd 3.44-3.78
Nd (0.3357, 0.2500, 0.7292)  5 Er 3.58-3.94, 8 Nd 3.61-3.88
Nd (0.3714, 0.7500, 0.5076)  3 Er 3.34-3.54, 3 Nd 3.68-3.70
Nd (0.6286, 0.2500, 0.4924)  3 Er 3.34-3.54, 3 Nd 3.68-3.70
Nd (0.6643, 0.7500, 0.2708)  5 Er 3.58-3.94, 8 Nd 3.61-3.88
Nd (0.7268, 0.2500, 0.0738)  5 Er 3.44-3.80, 7 Nd 3.44-3.78
Nd (0.7374, 0.2500, 0.8187)  5 Nd 3.38-3.78, 4 Er 3.42-3.55, 2 Ac 3.69
Nd (0.8905, 0.2500, 0.4151)  3 Ac 3.58-3.82, 5 Nd 3.68-3.88, 2 Er 3.76
Nd (0.9004, 0.7500, 0.9639)  6 Nd 3.25-3.44, 1 Er 3.56
Er (0.0481, 0.2500, 0.7938)  8 Nd 3.56-3.93, 2 Er 3.70, 2 Ac 3.82
Er (0.4389, 0.2500, 0.3186)  7 Nd 3.34-3.58, 3 Er 3.38-3.70
Er (0.4635, 0.2500, 0.0930)  5 Er 3.38-3.70, 5 Nd 3.44-3.76
Er (0.5365, 0.7500, 0.9070)  5 Er 3.38-3.70, 5 Nd 3.44-3.76
Er (0.5611, 0.7500, 0.6814)  7 Nd 3.34-3.58, 3 Er 3.38-3.70
Er (0.9519, 0.7500, 0.2062)  8 Nd 3.56-3.93, 2 Er 3.70, 2 Ac 3.82



TaFe4Ge: optimized geometry, PBE-GGA.

Summary:
Calculated formation energy   -7 kJ/mol of atoms
Calculated total energy   -8.4579 eV per atom
Symmetry   No. 216
Total magnetic moment   6.7 μB per formula unit

Cell lengths 4.7729, 4.7729, 4.7729 Å; angles 60.00, 60.00, 60.00 degrees
With the nearest neighbours (Å) after each atom.
Positions (direct):
Ta (0.0000, 0.0000, 0.0000)  12 Fe 2.80, 4 Ge 2.92
Fe (0.3747, 0.3747, 0.3747)  6 Fe 2.38-2.39
Fe (0.3747, 0.3747, 0.8760)  6 Fe 2.38-2.39
Fe (0.3747, 0.8760, 0.3747)  6 Fe 2.38-2.39
Fe (0.8760, 0.3747, 0.3747)  6 Fe 2.38-2.39
Ge (0.7500, 0.7500, 0.7500)  12 Fe 2.80, 4 Ta 2.92



ErPu3In4: optimized geometry, PBE-GGA.

Summary:
Calculated formation energy   -17 kJ/mol of atoms
Calculated total energy   -7.4913 eV per atom
Symmetry   No. 47
Total magnetic moment   6.3 μB per formula unit

Cell lengths 3.2155, 5.7531, 11.4923 Å; angles 90.00, 90.00, 90.00 degrees
With the nearest neighbours (Å) after each atom.
Positions (direct):
Er (0.0000, 0.0000, 0.0000)  2 Er 3.22, 8 In 3.26-3.30
Pu (0.0000, 0.0000, 0.5000)  2 Pu 3.22, 8 In 3.30-3.33
Pu (0.0000, 0.5000, 0.2501)  2 Pu 3.22, 8 In 3.29-3.30
Pu (0.0000, 0.5000, 0.7499)  2 Pu 3.22, 8 In 3.29-3.30
In (0.5000, 0.0000, 0.2466)  2 In 3.22, 2 Er 3.26, 6 Pu 3.30-3.33
In (0.5000, 0.0000, 0.7534)  2 In 3.22, 2 Er 3.26, 6 Pu 3.30-3.33
In (0.5000, 0.5000, 0.0000)  2 In 3.22, 4 Pu 3.29, 4 Er 3.30
In (0.5000, 0.5000, 0.5000)  2 In 3.22, 8 Pu 3.29-3.30